DFT (PBE) results for an optimized crystal structure of K2Rb3Cd4Au2.

Total magnetization (Bohr magnetons per cell): 0.00
Energy (eV per atom): -1.4872

Cell: 4.816 4.816 20.173 Å, 96.86 96.86 90.00°
Positions (direct):
Cd1 0.924 0.424 0.849
Cd2 0.424 0.924 0.849
Cd3 0.576 0.076 0.151
Cd4 0.076 0.576 0.151
Au1 0.383 0.383 0.766
Au2 0.617 0.617 0.234
K1 0.713 0.713 0.425
K2 0.287 0.287 0.575
Rb1 0.000 0.000 0.000
Rb2 0.853 0.853 0.705
Rb3 0.147 0.147 0.295